! K3NpMn2O9 GGA+U optimized geometry; values from VASP
! V = 195.2 Å³/cell
! total energy = -102.298 eV per cell
! total moment = 7.3 μB/cell
! Fermi-level density of states = 8.11 states/eV/cell
&SYSTEM
  ibrav = 0, nat = 15, ntyp = 4
/
ATOMIC_SPECIES
K 39.10 K.upf
Np 237.00 Np.upf
Mn 54.94 Mn.upf
O 16.00 O.upf
CELL_PARAMETERS angstrom
5.670 0.000 0.000
-2.835 4.910 0.000
0.000 0.000 7.013
ATOMIC_POSITIONS crystal
K 0.333 0.667 0.680
K 0.000 0.000 0.000
K 0.667 0.333 0.320
Np 0.000 0.000 0.500
Mn 0.333 0.667 0.152
Mn 0.667 0.333 0.848
O 0.833 0.167 0.668
O 0.833 0.666 0.668
O 0.334 0.167 0.668
O 0.666 0.833 0.332
O 0.167 0.334 0.332
O 0.167 0.833 0.332
O 0.500 0.000 0.000
O 0.000 0.500 0.000
O 0.500 0.500 0.000